DFT (PBE) results for ZnTe3Pb after structural relaxation.

Calculated total energy = -61.5 eV for the cell shown
Symmetry = Pnma (62)

Lattice parameters (Å, degrees): 8.0572 10.3701 8.3009 90.00 90.00 90.00
Fractional coordinates of all 20 atoms:
Zn: 0.0193 0.2500 0.1017
Zn: 0.4807 0.7500 0.6017
Zn: 0.5193 0.2500 0.3983
Zn: 0.9807 0.7500 0.8983
Te: 0.1495 0.1123 0.8546
Te: 0.1495 0.3877 0.8546
Te: 0.1923 0.2500 0.3684
Te: 0.3077 0.7500 0.8684
Te: 0.3505 0.6123 0.3546
Te: 0.3505 0.8877 0.3546
Te: 0.6495 0.1123 0.6454
Te: 0.6495 0.3877 0.6454
Te: 0.6923 0.2500 0.1316
Te: 0.8077 0.7500 0.6316
Te: 0.8505 0.6123 0.1454
Te: 0.8505 0.8877 0.1454
Pb: 0.0000 0.0000 0.5000
Pb: 0.0000 0.5000 0.5000
Pb: 0.5000 0.0000 0.0000
Pb: 0.5000 0.5000 0.0000